[1]
The following is a meta-GGA SCAN calculation of a PBEsol-optimized structure of URe2, from the Alexandria database.

Values from the calculation:
DFT total energy in hartree per atom: -3.0098
Formation energy in eV per atom: 0.007

Lattice parameters (Å, degrees): 5.310 5.310 8.195 90.00 90.00 114.22
Fractional coordinates of all 12 atoms:
U  0.162  0.838  0.586
U  0.162  0.838  0.914
U  0.838  0.162  0.086
U  0.838  0.162  0.414
Re  0.159  0.333  0.750
Re  0.325  0.675  0.250
Re  0.333  0.159  0.250
Re  0.500  0.500  0.000
Re  0.500  0.500  0.500
Re  0.667  0.841  0.750
Re  0.675  0.325  0.750
Re  0.841  0.667  0.250



[2]
The following is a meta-GGA SCAN calculation of a PBEsol-optimized structure of BeNiIr, from the Alexandria database.

Values from the calculation:
DFT total energy in hartree per atom: -1.1348
Formation energy in eV per atom: -0.338

Lattice parameters (Å, degrees): 4.806 4.806 4.806 147.52 147.52 46.60
Fractional coordinates of all 3 atoms:
Be  0.000  0.000  0.000
Ni  0.358  0.358  0.000
Ir  0.659  0.659  0.000



[3]
The following is a meta-GGA SCAN calculation of a PBEsol-optimized structure of K2TlSe, from the Alexandria database.

Values from the calculation:
DFT total energy in hartree per atom: -1.0211
Excess energy over the best structure of this formula in the dataset in meV per atom: 141

Lattice parameters (Å, degrees): 5.601 5.601 5.601 60.00 60.00 60.00
Fractional coordinates of all 4 atoms:
K  0.000  0.000  0.000
K  0.250  0.250  0.250
Tl  0.750  0.750  0.750
Se  0.500  0.500  0.500



[4]
The following is a meta-GGA SCAN calculation of a PBEsol-optimized structure of AsRuN2, from the Alexandria database.

Values from the calculation:
DFT total energy in hartree per atom: -0.6565

Lattice parameters (Å, degrees): 6.488 6.488 6.488 25.96 25.96 25.96
Fractional coordinates of all 4 atoms:
As  0.000  0.000  0.000
Ru  0.500  0.500  0.500
N  0.106  0.106  0.106
N  0.894  0.894  0.894



[5]
The following is a meta-GGA SCAN calculation of a PBEsol-optimized structure of BaTl3, from the Alexandria database.

Values from the calculation:
DFT total energy in hartree per atom: -2.3714
Formation energy in eV per atom: -0.372

Lattice parameters (Å, degrees): 5.592 5.592 5.592 60.00 60.00 60.00
Fractional coordinates of all 4 atoms:
Ba  0.000  0.000  0.000
Tl  0.250  0.250  0.250
Tl  0.500  0.500  0.500
Tl  0.750  0.750  0.750



[6]
The following is a meta-GGA SCAN calculation of a PBEsol-optimized structure of Zr2ZnCd, from the Alexandria database.

Values from the calculation:
DFT total energy in hartree per atom: -0.9739
Formation energy in eV per atom: -0.169
Excess energy over the best structure of this formula in the dataset in meV per atom: 78

Lattice parameters (Å, degrees): 3.060 3.060 8.312 90.00 90.00 90.00
Fractional coordinates of all 4 atoms:
Zr  0.000  0.000  0.000
Zr  0.500  0.500  0.278
Zn  0.500  0.500  0.766
Cd  0.000  0.000  0.550